# 1
# PBE La2MoBr, relaxed
# Energy above the most stable polymorph in this dataset in meV per atom: 341
# Uncorrected formation energy in eV per atom: -0.03
data_La2MoBr
_cell_length_a 3.550
_cell_length_b 4.879
_cell_length_c 12.168
_cell_angle_alpha 90.00
_cell_angle_beta 90.00
_cell_angle_gamma 90.00
_symmetry_space_group_name_H-M 'I m m 2'
_symmetry_Int_Tables_number 44
loop_
_symmetry_equiv_pos_as_xyz
'x,y,z'
'-x,-y,z'
'-x,y,z'
'x,-y,z'
'x+1/2,y+1/2,z+1/2'
'-x+1/2,-y+1/2,z+1/2'
'-x+1/2,y+1/2,z+1/2'
'x+1/2,-y+1/2,z+1/2'
loop_
_atom_site_label
_atom_site_type_symbol
_atom_site_fract_x
_atom_site_fract_y
_atom_site_fract_z
_atom_site_occupancy
La1 La 0.000 0.000 0.000 1
La2 La 0.000 0.500 0.224 1
Mo1 Mo 0.000 0.500 0.718 1
Br1 Br 0.000 0.000 0.416 1

---

# 2
# PBE Ru3PbSe, relaxed
# Energy above the most stable polymorph in this dataset in meV per atom: 0
# Uncorrected formation energy in eV per atom: 0.86
data_Ru3PbSe
_cell_length_a 4.599
_cell_length_b 4.599
_cell_length_c 4.599
_cell_angle_alpha 90.00
_cell_angle_beta 90.00
_cell_angle_gamma 90.00
_symmetry_space_group_name_H-M 'P m -3 m'
_symmetry_Int_Tables_number 221
_symmetry_space_group_name_Hall '-P 4 2 3'
loop_
_atom_site_label
_atom_site_type_symbol
_atom_site_fract_x
_atom_site_fract_y
_atom_site_fract_z
_atom_site_occupancy
Ru1 Ru 0.000 0.000 0.500 1
Pb1 Pb 0.500 0.500 0.500 1
Se1 Se 0.000 0.000 0.000 1

---

# 3
# PBE Pm3Er4Al, relaxed
# Formation energy in eV per atom: -0.088
data_Pm3Er4Al
_cell_length_a 3.555
_cell_length_b 3.555
_cell_length_c 19.080
_cell_angle_alpha 90.00
_cell_angle_beta 90.00
_cell_angle_gamma 90.00
_symmetry_space_group_name_H-M 'P 4/m m m'
_symmetry_Int_Tables_number 123
_symmetry_space_group_name_Hall '-P 4 2'
loop_
_atom_site_label
_atom_site_type_symbol
_atom_site_fract_x
_atom_site_fract_y
_atom_site_fract_z
_atom_site_occupancy
Pm1 Pm 0.000 0.000 0.000 1
Pm2 Pm 0.000 0.000 0.268 1
Er1 Er 0.500 0.500 0.134 1
Er2 Er 0.500 0.500 0.403 1
Al1 Al 0.000 0.000 0.500 1

---

# 4
# PBE NaV2Sn, relaxed
# Formation energy in eV per atom: 0.983
data_NaV2Sn
_cell_length_a 7.557
_cell_length_b 7.557
_cell_length_c 5.418
_cell_angle_alpha 90.00
_cell_angle_beta 90.00
_cell_angle_gamma 90.00
_symmetry_space_group_name_H-M 'I -4 2 d'
_symmetry_Int_Tables_number 122
_symmetry_space_group_name_Hall 'I -4 2bw'
loop_
_atom_site_label
_atom_site_type_symbol
_atom_site_fract_x
_atom_site_fract_y
_atom_site_fract_z
_atom_site_occupancy
Na1 Na 0.000 0.000 0.000 1
V1 V 0.238 0.250 0.625 1
Sn1 Sn 0.000 0.000 0.500 1

---

# 5
# PBE Mg2CdAg6, relaxed
# Energy above the most stable polymorph in this dataset in meV per atom: 96
# Formation energy in eV per atom: -0.036
data_Mg2CdAg6
_cell_length_a 9.502
_cell_length_b 8.113
_cell_length_c 4.902
_cell_angle_alpha 90.00
_cell_angle_beta 114.57
_cell_angle_gamma 90.00
_symmetry_space_group_name_H-M 'C 1 2/m 1'
_symmetry_Int_Tables_number 12
loop_
_symmetry_equiv_pos_as_xyz
'x,y,z'
'-x,-y,-z'
'-x,y,-z'
'x,-y,z'
'x+1/2,y+1/2,z'
'-x+1/2,-y+1/2,-z'
'-x+1/2,y+1/2,-z'
'x+1/2,-y+1/2,z'
loop_
_atom_site_label
_atom_site_type_symbol
_atom_site_fract_x
_atom_site_fract_y
_atom_site_fract_z
_atom_site_occupancy
Mg1 Mg 0.171 0.000 0.168 1
Cd1 Cd 0.000 0.500 0.500 1
Ag1 Ag 0.000 0.310 0.000 1
Ag2 Ag 0.167 0.180 0.665 1

---

# 6
# PBE TmReB4, relaxed
# Energy above the most stable polymorph in this dataset in meV per atom: 48
# Formation energy in eV per atom: -0.352
data_TmReB4
_cell_length_a 3.136
_cell_length_b 5.346
_cell_length_c 6.993
_cell_angle_alpha 90.00
_cell_angle_beta 90.00
_cell_angle_gamma 90.00
_symmetry_space_group_name_H-M 'I m m m'
_symmetry_Int_Tables_number 71
_symmetry_space_group_name_Hall '-I 2 2'
loop_
_atom_site_label
_atom_site_type_symbol
_atom_site_fract_x
_atom_site_fract_y
_atom_site_fract_z
_atom_site_occupancy
Tm1 Tm 0.000 0.000 0.000 1
Re1 Re 0.000 0.000 0.500 1
B1 B 0.000 0.336 0.251 1

---

# 7
# PBE PmGa2IrRh, relaxed
# Formation energy in eV per atom: -0.762
data_PmGa2IrRh
_cell_length_a 4.283
_cell_length_b 4.283
_cell_length_c 10.101
_cell_angle_alpha 90.00
_cell_angle_beta 90.00
_cell_angle_gamma 90.00
_symmetry_space_group_name_H-M 'I -4 m 2'
_symmetry_Int_Tables_number 119
_symmetry_space_group_name_Hall 'I -4 -2'
loop_
_atom_site_label
_atom_site_type_symbol
_atom_site_fract_x
_atom_site_fract_y
_atom_site_fract_z
_atom_site_occupancy
Pm1 Pm 0.000 0.000 0.000 1
Ga1 Ga 0.000 0.000 0.374 1
Ir1 Ir 0.000 0.500 0.750 1
Rh1 Rh 0.000 0.500 0.250 1

---

# 8
# PBE MnGaMoBr2, relaxed
# Uncorrected formation energy in eV per atom: 0.73
data_MnGaMoBr2
_cell_length_a 4.915
_cell_length_b 4.915
_cell_length_c 5.124
_cell_angle_alpha 90.00
_cell_angle_beta 90.00
_cell_angle_gamma 90.00
_symmetry_space_group_name_H-M 'P 4/m m m'
_symmetry_Int_Tables_number 123
_symmetry_space_group_name_Hall '-P 4 2'
loop_
_atom_site_label
_atom_site_type_symbol
_atom_site_fract_x
_atom_site_fract_y
_atom_site_fract_z
_atom_site_occupancy
Mn1 Mn 0.000 0.000 0.000 1
Ga1 Ga 0.500 0.500 0.000 1
Mo1 Mo 0.500 0.500 0.500 1
Br1 Br 0.000 0.500 0.500 1

---

# 9
# PBE RbAlSe2, relaxed
# Uncorrected formation energy in eV per atom: -0.62
data_RbAlSe2
_cell_length_a 3.873
_cell_length_b 20.599
_cell_length_c 6.977
_cell_angle_alpha 90.00
_cell_angle_beta 90.00
_cell_angle_gamma 90.00
_symmetry_space_group_name_H-M 'C m c m'
_symmetry_Int_Tables_number 63
_symmetry_space_group_name_Hall '-C 2c 2'
loop_
_atom_site_label
_atom_site_type_symbol
_atom_site_fract_x
_atom_site_fract_y
_atom_site_fract_z
_atom_site_occupancy
Rb1 Rb 0.000 0.066 0.250 1
Al1 Al 0.000 0.320 0.250 1
Se1 Se 0.000 0.106 0.750 1
Se2 Se 0.000 0.212 0.250 1

---

# 10
# PBE Te2PBr, relaxed
# Energy above the most stable polymorph in this dataset in meV per atom: 227
# Uncorrected formation energy in eV per atom: 0.31
data_Te2PBr
_cell_length_a 3.680
_cell_length_b 3.680
_cell_length_c 7.555
_cell_angle_alpha 90.00
_cell_angle_beta 90.00
_cell_angle_gamma 90.00
_symmetry_space_group_name_H-M 'P 4/m m m'
_symmetry_Int_Tables_number 123
_symmetry_space_group_name_Hall '-P 4 2'
loop_
_atom_site_label
_atom_site_type_symbol
_atom_site_fract_x
_atom_site_fract_y
_atom_site_fract_z
_atom_site_occupancy
Te1 Te 0.000 0.000 0.191 1
P1 P 0.500 0.500 0.000 1
Br1 Br 0.500 0.500 0.500 1

---

# 11
# PBE Re2PSe, relaxed
# Energy above the most stable polymorph in this dataset in meV per atom: 57
# Uncorrected formation energy in eV per atom: 0.09
data_Re2PSe
_cell_length_a 8.142
_cell_length_b 3.106
_cell_length_c 5.155
_cell_angle_alpha 90.00
_cell_angle_beta 104.98
_cell_angle_gamma 90.00
_symmetry_space_group_name_H-M 'C 1 m 1'
_symmetry_Int_Tables_number 8
loop_
_symmetry_equiv_pos_as_xyz
'x,y,z'
'x,-y,z'
'x+1/2,y+1/2,z'
'x+1/2,-y+1/2,z'
loop_
_atom_site_label
_atom_site_type_symbol
_atom_site_fract_x
_atom_site_fract_y
_atom_site_fract_z
_atom_site_occupancy
Re1 Re 0.000 0.000 0.000 1
Re2 Re 0.229 0.000 0.604 1
P1 P 0.208 0.500 0.948 1
Se1 Se 0.482 0.000 0.389 1

---

# 12
# PBE Pr8Y5Er, relaxed
# Formation energy in eV per atom: 0.256
data_Pr8Y5Er
_cell_length_a 9.816
_cell_length_b 9.816
_cell_length_c 10.350
_cell_angle_alpha 90.00
_cell_angle_beta 90.00
_cell_angle_gamma 90.00
_symmetry_space_group_name_H-M 'I -4'
_symmetry_Int_Tables_number 82
loop_
_symmetry_equiv_pos_as_xyz
'x,y,z'
'y,-x,-z'
'-x,-y,z'
'-y,x,-z'
'x+1/2,y+1/2,z+1/2'
'y+1/2,-x+1/2,-z+1/2'
'-x+1/2,-y+1/2,z+1/2'
'-y+1/2,x+1/2,-z+1/2'
loop_
_atom_site_label
_atom_site_type_symbol
_atom_site_fract_x
_atom_site_fract_y
_atom_site_fract_z
_atom_site_occupancy
Pr1 Pr 0.067 0.330 0.093 1
Pr2 Pr 0.092 0.180 0.752 1
Y1 Y 0.000 0.000 0.000 1
Y2 Y 0.109 0.202 0.425 1
Er1 Er 0.000 0.500 0.750 1

---

# 13
# PBE ZrAl2ReO, relaxed
# Uncorrected formation energy in eV per atom: 0.73
data_ZrAl2ReO
_cell_length_a 5.368
_cell_length_b 5.368
_cell_length_c 3.875
_cell_angle_alpha 90.00
_cell_angle_beta 90.00
_cell_angle_gamma 90.00
_symmetry_space_group_name_H-M 'P 4/m m m'
_symmetry_Int_Tables_number 123
_symmetry_space_group_name_Hall '-P 4 2'
loop_
_atom_site_label
_atom_site_type_symbol
_atom_site_fract_x
_atom_site_fract_y
_atom_site_fract_z
_atom_site_occupancy
Zr1 Zr 0.000 0.000 0.000 1
Al1 Al 0.000 0.500 0.000 1
Re1 Re 0.500 0.500 0.500 1
O1 O 0.000 0.000 0.500 1

---

# 14
# PBE FeRe2Au, relaxed
# Energy above the most stable polymorph in this dataset in meV per atom: 442
# Formation energy in eV per atom: 0.660
data_FeRe2Au
_cell_length_a 6.206
_cell_length_b 6.206
_cell_length_c 6.206
_cell_angle_alpha 90.00
_cell_angle_beta 90.00
_cell_angle_gamma 90.00
_symmetry_space_group_name_H-M 'F m -3 m'
_symmetry_Int_Tables_number 225
_symmetry_space_group_name_Hall '-F 4 2 3'
loop_
_atom_site_label
_atom_site_type_symbol
_atom_site_fract_x
_atom_site_fract_y
_atom_site_fract_z
_atom_site_occupancy
Fe1 Fe 0.000 0.000 0.000 1
Re1 Re 0.250 0.250 0.250 1
Au1 Au 0.000 0.000 0.500 1

---

# 15
# PBE Ba2TmSi3Pt12, relaxed
# Uncorrected formation energy in eV per atom: -0.44
data_Ba2TmSi3Pt12
_cell_length_a 8.4584
_cell_length_b 8.4584
_cell_length_c 18.6261
_cell_angle_alpha 90.00
_cell_angle_beta 90.00
_cell_angle_gamma 120.00
_symmetry_space_group_name_H-M 'R -3 m'
_symmetry_Int_Tables_number 166
_symmetry_space_group_name_Hall '-R 3 2"'
loop_
_atom_site_label
_atom_site_type_symbol
_atom_site_fract_x
_atom_site_fract_y
_atom_site_fract_z
_atom_site_occupancy
Ba1 Ba 0.0000 0.0000 0.1029 1
Tm1 Tm 0.0000 0.0000 0.5000 1
Si1 Si 0.0000 0.5000 0.0000 1
Pt1 Pt 0.0149 0.5074 0.8745 1
Pt2 Pt 0.0458 0.5229 0.3653 1

---

# 16
# PBE Ca2Fe2Te, relaxed
# Energy above the most stable polymorph in this dataset in meV per atom: 0
# Uncorrected formation energy in eV per atom: 0.07
data_Ca2Fe2Te
_cell_length_a 3.456
_cell_length_b 3.456
_cell_length_c 18.025
_cell_angle_alpha 90.00
_cell_angle_beta 90.00
_cell_angle_gamma 90.00
_symmetry_space_group_name_H-M 'I 4/m m m'
_symmetry_Int_Tables_number 139
_symmetry_space_group_name_Hall '-I 4 2'
loop_
_atom_site_label
_atom_site_type_symbol
_atom_site_fract_x
_atom_site_fract_y
_atom_site_fract_z
_atom_site_occupancy
Ca1 Ca 0.000 0.000 0.116 1
Fe1 Fe 0.000 0.500 0.250 1
Te1 Te 0.000 0.000 0.500 1

---

Result set for density of states at the Fermi level: 7.37, 6.74, 8.90, 15.10, 4.80, 3.58, 4.45, 4.79, 0.22, 1.60, 2.91, 43.38, 3.05, 14.66, 22.64, 20.19 states/eV per cell, one per record in the order listed.